# 1
Lu2CoBi: optimized geometry, GGA-PBE.

Crystal system: trigonal
E_form, eV/atom: -0.112
ΔE to the lowest computed polymorph, meV/atom: 247
V, Å³ per cell: 109.37
Electronic total energy, eV/atom: -5.119

POSCAR file:
```
Lu2CoBi
1.0
1.838 1.061 9.342
-1.838 1.061 9.342
0.000 -2.123 9.342
Lu Co Bi
2 1 1
direct
0.114 0.114 0.114
0.886 0.886 0.886
0.500 0.500 0.500
0.000 0.000 0.000
```

# 2
Rb2CaAg2Cl6: optimized geometry, GGA-PBE.

Crystal system: monoclinic
Formation energy from raw total energies, eV/f.u.: -16.7
V, Å³ per cell: 350.29
Electronic total energy, eV/atom: -3.401

POSCAR file:
```
Rb2CaAg2Cl6
1.0
6.782 -3.838 0.000
6.782 3.838 0.000
-3.819 0.000 6.729
Rb Ca Ag Cl
2 1 2 6
direct
0.233 0.233 0.186
0.767 0.767 0.814
0.000 0.000 0.500
0.436 0.436 0.778
0.564 0.564 0.222
0.184 0.699 0.201
0.226 0.226 0.607
0.301 0.816 0.799
0.699 0.184 0.201
0.774 0.774 0.393
0.816 0.301 0.799
```

# 3
KInIr2: optimized geometry, GGA-PBE.

Crystal system: orthorhombic
E_form, eV/atom: 0.793
V, Å³ per cell: 75.06
Electronic total energy, eV/atom: -4.597

POSCAR file:
```
KInIr2
1.0
2.936 0.000 0.000
0.000 4.958 0.000
0.000 0.000 5.155
K In Ir
1 1 2
direct
0.000 0.000 0.000
0.500 0.000 0.500
0.000 0.500 0.500
0.500 0.500 0.000
```

# 4
PrErAl: optimized geometry, GGA-PBE.

Crystal system: trigonal
E_form, eV/atom: -0.136
ΔE to the lowest computed polymorph, meV/atom: 81
V, Å³ per cell: 83.65
Electronic total energy, eV/atom: -4.498

POSCAR file:
```
PrErAl
1.0
5.125 0.000 0.000
-2.563 4.439 0.000
0.000 0.000 3.677
Pr Er Al
1 1 1
direct
0.000 0.000 0.000
0.333 0.667 0.445
0.667 0.333 0.643
```

# 5
Sr2TiSnRu: optimized geometry, GGA-PBE.

Crystal system: tetragonal
E_form, eV/atom: 0.642
V, Å³ per cell: 158.96
Electronic total energy, eV/atom: -4.266

POSCAR file:
```
Sr2TiSnRu
1.0
5.558 0.000 0.000
0.000 5.558 0.000
0.000 0.000 5.147
Sr Ti Sn Ru
2 1 1 1
direct
0.000 0.500 0.000
0.500 0.000 0.000
0.000 0.000 0.500
0.500 0.500 0.500
0.500 0.500 0.000
```

# 6
Y6Tl2O: optimized geometry, GGA-PBE.

Crystal system: monoclinic
Formation energy from raw total energies, eV/f.u.: -7.1
V, Å³ per cell: 475.20
Electronic total energy, eV/atom: -6.174

POSCAR file:
```
Y6Tl2O
1.0
6.640 0.000 0.000
0.000 6.794 0.000
-6.580 0.000 10.532
Y Tl O
12 4 2
direct
0.169 0.184 0.480
0.169 0.316 0.980
0.302 0.693 0.484
0.302 0.807 0.984
0.317 0.516 0.754
0.317 0.984 0.254
0.683 0.016 0.746
0.683 0.484 0.246
0.698 0.193 0.016
0.698 0.307 0.516
0.831 0.684 0.020
0.831 0.816 0.520
0.202 0.064 0.750
0.202 0.436 0.250
0.798 0.564 0.750
0.798 0.936 0.250
0.500 0.000 0.500
0.500 0.500 0.000
```

# 7
Fe3HW: optimized geometry, GGA-PBE.

Crystal system: monoclinic
ΔE to the lowest computed polymorph, meV/atom: 109
V, Å³ per cell: 204.88
Electronic total energy, eV/atom: -8.222

POSCAR file:
```
Fe3HW
1.0
4.490 -5.327 0.000
4.490 5.327 0.000
-1.338 0.000 4.282
Fe H W
12 4 4
direct
0.059 0.696 0.503
0.067 0.185 0.988
0.171 0.566 0.973
0.185 0.067 0.488
0.304 0.941 0.997
0.434 0.829 0.527
0.566 0.171 0.473
0.696 0.059 0.003
0.815 0.933 0.512
0.829 0.434 0.027
0.933 0.815 0.012
0.941 0.304 0.497
0.061 0.939 0.750
0.180 0.820 0.250
0.820 0.180 0.750
0.939 0.061 0.250
0.294 0.445 0.459
0.445 0.294 0.959
0.555 0.706 0.041
0.706 0.555 0.541
```

# 8
NdSm3Y: optimized geometry, GGA-PBE.

Crystal system: monoclinic
E_form, eV/atom: 0.024
V, Å³ per cell: 341.48
Electronic total energy, eV/atom: -5.054

POSCAR file:
```
NdSm3Y
1.0
11.189 -1.838 0.000
11.189 1.838 0.000
-2.389 0.000 8.300
Nd Sm Y
2 6 2
direct
0.084 0.084 0.087
0.916 0.916 0.913
0.117 0.117 0.518
0.316 0.316 0.116
0.483 0.483 0.285
0.517 0.517 0.715
0.684 0.684 0.884
0.883 0.883 0.482
0.282 0.282 0.681
0.718 0.718 0.319
```

# 9
Ba2ScCl: optimized geometry, GGA-PBE.

Crystal system: tetragonal
ΔE to the lowest computed polymorph, meV/atom: 60
Formation energy from raw total energies, eV/f.u.: -2.2
V, Å³ per cell: 150.09
Electronic total energy, eV/atom: -3.561

POSCAR file:
```
Ba2ScCl
1.0
3.862 0.000 0.000
0.000 3.862 0.000
0.000 0.000 10.063
Ba Sc Cl
2 1 1
direct
0.000 0.000 0.225
0.000 0.000 0.775
0.500 0.500 0.500
0.500 0.500 0.000
```

# 10
ThMgGaIr: optimized geometry, GGA-PBE.

Crystal system: cubic
E_form, eV/atom: -0.474
ΔE to the lowest computed polymorph, meV/atom: 0
V, Å³ per cell: 83.16
Electronic total energy, eV/atom: -5.699

POSCAR file:
```
ThMgGaIr
1.0
0.000 3.464 3.464
3.464 0.000 3.464
3.464 3.464 0.000
Th Mg Ga Ir
1 1 1 1
direct
0.000 0.000 0.000
0.500 0.500 0.500
0.250 0.250 0.250
0.750 0.750 0.750
```

# 11
Y2IrSe: optimized geometry, GGA-PBE.

Crystal system: orthorhombic
Formation energy from raw total energies, eV/f.u.: -3.6
V, Å³ per cell: 88.90
Electronic total energy, eV/atom: -7.225

POSCAR file:
```
Y2IrSe
1.0
-2.281 2.748 3.545
2.281 -2.748 3.545
2.281 2.748 -3.545
Y Ir Se
2 1 1
direct
0.246 0.246 0.000
0.754 0.754 0.000
0.000 0.500 0.500
0.500 0.000 0.500
```

# 12
Np2AgBr8: optimized geometry, GGA-PBE.

Crystal system: monoclinic
ΔE to the lowest computed polymorph, meV/atom: 45
Formation energy from raw total energies, eV/f.u.: -10.7
V, Å³ per cell: 472.49
Electronic total energy, eV/atom: -4.797

POSCAR file:
```
Np2AgBr8
1.0
7.336 -5.603 0.000
7.336 5.603 0.000
-0.040 0.000 5.747
Np Ag Br
2 1 8
direct
0.220 0.220 0.239
0.780 0.780 0.761
0.000 0.000 0.000
0.085 0.714 0.783
0.217 0.217 0.731
0.286 0.915 0.217
0.402 0.402 0.246
0.598 0.598 0.754
0.714 0.085 0.783
0.783 0.783 0.269
0.915 0.286 0.217
```

# 13
La15PmEr4: optimized geometry, GGA-PBE.

Crystal system: tetragonal
E_form, eV/atom: 0.008
V, Å³ per cell: 705.44
Electronic total energy, eV/atom: -4.838

POSCAR file:
```
La15PmEr4
1.0
5.205 0.000 0.000
0.000 5.205 0.000
0.000 0.000 26.040
La Pm Er
15 1 4
direct
0.000 0.000 0.000
0.000 0.000 0.201
0.000 0.000 0.400
0.000 0.000 0.600
0.000 0.000 0.799
0.000 0.500 0.101
0.000 0.500 0.301
0.000 0.500 0.500
0.000 0.500 0.699
0.000 0.500 0.899
0.500 0.000 0.101
0.500 0.000 0.301
0.500 0.000 0.500
0.500 0.000 0.699
0.500 0.000 0.899
0.500 0.500 0.000
0.500 0.500 0.201
0.500 0.500 0.400
0.500 0.500 0.600
0.500 0.500 0.799
```

# 14
ScCuNiAu: optimized geometry, GGA-PBE.

Crystal system: cubic
E_form, eV/atom: -0.373
V, Å³ per cell: 60.83
Electronic total energy, eV/atom: -5.245

POSCAR file:
```
ScCuNiAu
1.0
0.000 3.121 3.121
3.121 0.000 3.121
3.121 3.121 0.000
Sc Cu Ni Au
1 1 1 1
direct
0.000 0.000 0.000
0.750 0.750 0.750
0.250 0.250 0.250
0.500 0.500 0.500
```

# 15
TmBSe2: optimized geometry, GGA-PBE.

Crystal system: trigonal
Formation energy from raw total energies, eV/f.u.: 0.9
V, Å³ per cell: 82.30
Electronic total energy, eV/atom: -4.310

POSCAR file:
```
TmBSe2
1.0
1.713 0.989 8.096
-1.713 0.989 8.096
0.000 -1.978 8.096
Tm B Se
1 1 2
direct
0.000 0.000 0.000
0.500 0.500 0.500
0.115 0.115 0.115
0.885 0.885 0.885
```

# 16
TmAl6Ni4: optimized geometry, GGA-PBE.

Crystal system: tetragonal
E_form, eV/atom: -0.557
V, Å³ per cell: 170.75
Electronic total energy, eV/atom: -5.107

POSCAR file:
```
TmAl6Ni4
1.0
-3.107 3.107 4.422
3.107 -3.107 4.422
3.107 3.107 -4.422
Tm Al Ni
1 6 4
direct
0.000 0.000 0.000
0.000 0.500 0.500
0.113 0.113 0.634
0.478 0.478 0.366
0.500 0.000 0.500
0.522 0.887 0.000
0.887 0.522 0.000
0.255 0.593 0.000
0.407 0.407 0.663
0.593 0.255 0.000
0.745 0.745 0.337
```

# 17
TlFe2Rh: optimized geometry, GGA-PBE.

Crystal system: monoclinic
E_form, eV/atom: 0.301
ΔE to the lowest computed polymorph, meV/atom: 73
V, Å³ per cell: 62.47
Electronic total energy, eV/atom: -6.359

POSCAR file:
```
TlFe2Rh
1.0
2.868 0.000 0.000
0.000 3.843 0.000
-0.012 0.000 5.669
Tl Fe Rh
1 2 1
direct
0.000 0.000 0.000
0.500 0.500 0.288
0.500 0.500 0.712
0.000 0.000 0.500
```

# 18
Li2TcCl: optimized geometry, GGA-PBE.

Crystal system: trigonal
ΔE to the lowest computed polymorph, meV/atom: 0
Formation energy from raw total energies, eV/f.u.: -1.0
V, Å³ per cell: 60.53
Electronic total energy, eV/atom: -4.267

POSCAR file:
```
Li2TcCl
1.0
1.471 0.849 8.071
-1.471 0.849 8.071
0.000 -1.699 8.071
Li Tc Cl
2 1 1
direct
0.234 0.234 0.234
0.766 0.766 0.766
0.000 0.000 0.000
0.500 0.500 0.500
```

# 19
YCoBr2: optimized geometry, GGA-PBE.

Crystal system: orthorhombic
ΔE to the lowest computed polymorph, meV/atom: 190
Formation energy from raw total energies, eV/f.u.: -2.2
V, Å³ per cell: 104.47
Electronic total energy, eV/atom: -4.784

POSCAR file:
```
YCoBr2
1.0
2.456 -2.466 0.000
2.456 2.466 0.000
0.000 0.000 8.625
Y Co Br
1 1 2
direct
0.000 0.000 0.000
0.500 0.500 0.789
0.000 0.000 0.664
0.500 0.500 0.220
```

# 20
Zr2Os2Rh: optimized geometry, GGA-PBE.

Crystal system: tetragonal
E_form, eV/atom: -0.211
V, Å³ per cell: 183.50
Electronic total energy, eV/atom: -9.593

POSCAR file:
```
Zr2Os2Rh
1.0
6.690 0.000 0.000
0.000 6.690 0.000
0.000 0.000 4.100
Zr Os Rh
4 4 2
direct
0.181 0.319 0.000
0.319 0.819 0.000
0.681 0.181 0.000
0.819 0.681 0.000
0.127 0.627 0.500
0.373 0.127 0.500
0.627 0.873 0.500
0.873 0.373 0.500
0.000 0.000 0.500
0.500 0.500 0.500
```

# 21
TaAlAu2: optimized geometry, GGA-PBE.

Crystal system: orthorhombic
E_form, eV/atom: -0.064
V, Å³ per cell: 69.30
Electronic total energy, eV/atom: -5.601

POSCAR file:
```
TaAlAu2
1.0
2.907 0.000 0.000
0.000 4.035 0.000
0.000 0.000 5.908
Ta Al Au
1 1 2
direct
0.000 0.000 0.000
0.000 0.000 0.500
0.500 0.500 0.251
0.500 0.500 0.749
```

# 22
Pr2CdRu2: optimized geometry, GGA-PBE.

Crystal system: orthorhombic
E_form, eV/atom: -0.171
V, Å³ per cell: 125.51
Electronic total energy, eV/atom: -5.976

POSCAR file:
```
Pr2CdRu2
1.0
2.097 -7.005 0.000
2.097 7.005 0.000
0.000 0.000 4.272
Pr Cd Ru
2 1 2
direct
0.135 0.865 0.000
0.865 0.135 0.000
0.500 0.500 0.500
0.292 0.708 0.500
0.708 0.292 0.500
```

# 23
BaMgI2O: optimized geometry, GGA-PBE.

Crystal system: tetragonal
ΔE to the lowest computed polymorph, meV/atom: 749
Formation energy from raw total energies, eV/f.u.: -3.6
V, Å³ per cell: 206.56
Electronic total energy, eV/atom: -3.045

POSCAR file:
```
BaMgI2O
1.0
6.766 0.000 0.000
0.000 6.766 0.000
0.000 0.000 4.513
Ba Mg I O
1 1 2 1
direct
0.000 0.000 0.000
0.500 0.500 0.500
0.000 0.500 0.000
0.500 0.000 0.000
0.000 0.000 0.500
```

# 24
Pr5In2Si2: optimized geometry, GGA-PBE.

Crystal system: orthorhombic
Formation energy from raw total energies, eV/f.u.: -4.7
V, Å³ per cell: 522.70
Electronic total energy, eV/atom: -4.995

POSCAR file:
```
Pr5In2Si2
1.0
8.216 -3.969 0.000
8.216 3.969 0.000
0.000 0.000 8.015
Pr In Si
10 4 4
direct
0.000 0.000 0.000
0.065 0.683 0.684
0.183 0.565 0.184
0.317 0.935 0.684
0.435 0.817 0.184
0.500 0.500 0.500
0.565 0.183 0.816
0.683 0.065 0.316
0.817 0.435 0.816
0.935 0.317 0.316
0.223 0.223 0.000
0.277 0.277 0.500
0.723 0.723 0.500
0.777 0.777 0.000
0.108 0.892 0.388
0.392 0.608 0.888
0.608 0.392 0.112
0.892 0.108 0.612
```